Density functional theory data (PBE) for a relaxed AlAuC3 crystal.

Cell and atoms, written as POSCAR:
```
AlAuC3
1.0
3.957 0.000 0.000
0.000 3.957 0.000
0.000 0.000 3.957
C Au Al
3 1 1
Direct
0.000 0.500 0.000
0.000 0.000 0.500
0.500 0.000 0.000
0.500 0.500 0.500
0.000 0.000 0.000
```

Results
formation energy: 2.39 eV per atom
crystal system: cubic
calculated density: 6.97 g cm⁻³
energy relative to the lowest polymorph listed for this composition: 0 meV/atom

***

Density functional theory data (PBE) for a relaxed AlAuC crystal.

Cell and atoms, written as POSCAR:
```
AlAuC
1.0
5.501 -0.036 0.069
-2.083 5.712 -0.047
0.940 -0.577 3.085
C Au Al
2 2 2
Direct
0.685 0.526 0.202
0.468 0.327 0.211
0.785 0.099 0.938
0.369 0.755 0.475
0.278 0.156 0.721
0.876 0.697 0.692
```

Results
formation energy: 0.24 eV per atom
crystal system: triclinic
calculated density: 8.14 g cm⁻³

***

Density functional theory data (PBE) for a relaxed AlAuC crystal.

Cell and atoms, written as POSCAR:
```
AlAuC
1.0
3.741 0.000 0.000
0.000 3.741 0.000
0.000 0.000 6.922
C Au Al
2 2 2
Direct
0.000 0.500 0.380
0.500 0.000 0.620
0.000 0.500 0.080
0.500 0.000 0.920
0.000 0.000 0.500
0.500 0.500 0.500
```

Results
formation energy: 0.41 eV per atom
crystal system: tetragonal
calculated density: 8.09 g cm⁻³

***

Density functional theory data (PBE) for a relaxed AlAuC3 crystal.

Cell and atoms, written as POSCAR:
```
AlAuC3
1.0
4.150 0.000 0.000
0.000 4.150 0.000
0.000 0.000 4.150
C Au Al
3 1 1
Direct
0.000 0.500 0.000
0.000 0.000 0.500
0.500 0.000 0.000
0.000 0.000 0.000
0.500 0.500 0.500
```

Results
formation energy: 3.01 eV per atom
crystal system: cubic
calculated density: 6.04 g cm⁻³
energy relative to the lowest polymorph listed for this composition: 618 meV/atom

***

Question: The lowest calculated density belongs to which entry?
Answer: number 4

***

Question: What is the calculated density in the third record?
Answer: 8.09 g cm⁻³

***

Question: calculated density of number 2 (AlAuC)?
Answer: 8.14 g cm⁻³

***

Question: Which value of formation energy does entry 3 give?
Answer: 0.41 eV per atom